## MnSi2Os (SCAN)

Data for MnSi2Os at its PBEsol-relaxed geometry.

Cell lengths 2.800, 4.184, 4.155 Å; angles 90.00, 90.00, 90.00 degrees
Atoms (fractional coordinates):
Mn (0.000, 0.000, 0.000)
Si (0.000, 0.500, 0.292)
Si (0.500, 0.000, 0.469)
Os (0.500, 0.500, 0.783)

Properties
Uncorrected energy: -27.75 eV/atom
Total magnetization: 0.005 μB/f.u.
SG: Pmm2

***

## Mn2SiOs (SCAN)

Data for Mn2SiOs at its PBEsol-relaxed geometry.

Cell lengths 2.893, 4.021, 4.110 Å; angles 90.00, 90.00, 90.00 degrees
Atoms (fractional coordinates):
Mn (0.000, 0.000, 0.000)
Mn (0.500, 0.500, 0.000)
Si (0.000, 0.500, 0.500)
Os (0.500, 0.000, 0.500)

Properties
Uncorrected energy: -30.01 eV/atom
Total magnetization: 2.005 μB/f.u.
SG: Pmmm

***

## MnSi2Os (SCAN)

Data for MnSi2Os at its PBEsol-relaxed geometry.

Cell lengths 2.845, 4.704, 7.551 Å; angles 90.00, 90.00, 90.00 degrees
Atoms (fractional coordinates):
Mn (0.000, 0.000, 0.000)
Mn (0.500, 0.500, 0.000)
Si (0.000, 0.500, 0.237)
Si (0.000, 0.500, 0.763)
Si (0.500, 0.000, 0.237)
Si (0.500, 0.000, 0.763)
Os (0.000, 0.000, 0.500)
Os (0.500, 0.500, 0.500)

Properties
Uncorrected energy: -27.55 eV/atom
Total magnetization: 1.901 μB/f.u.
SG: Cmmm

***

## Mn2Sn2Os (SCAN)

Data for Mn2Sn2Os at its PBEsol-relaxed geometry.

Cell lengths 3.828, 3.828, 11.498 Å; angles 90.00, 90.00, 90.00 degrees
Atoms (fractional coordinates):
Mn (0.000, 0.000, 0.087)
Mn (0.000, 0.000, 0.913)
Mn (0.500, 0.500, 0.413)
Mn (0.500, 0.500, 0.587)
Sn (0.000, 0.500, 0.250)
Sn (0.000, 0.500, 0.750)
Sn (0.500, 0.000, 0.250)
Sn (0.500, 0.000, 0.750)
Os (0.000, 0.000, 0.500)
Os (0.500, 0.500, 0.000)

Properties
Uncorrected energy: -34.97 eV/atom
Total magnetization: 5.290 μB/f.u.
SG: I4/mmm

***

## Ta2MnOs (SCAN)

Data for Ta2MnOs at its PBEsol-relaxed geometry.

Cell lengths 6.201, 6.201, 6.201 Å; angles 90.00, 90.00, 90.00 degrees
Atoms (fractional coordinates):
Ta (0.250, 0.250, 0.250)
Ta (0.250, 0.250, 0.750)
Ta (0.250, 0.750, 0.250)
Ta (0.250, 0.750, 0.750)
Ta (0.750, 0.250, 0.250)
Ta (0.750, 0.250, 0.750)
Ta (0.750, 0.750, 0.250)
Ta (0.750, 0.750, 0.750)
Mn (0.000, 0.000, 0.000)
Mn (0.000, 0.500, 0.500)
Mn (0.500, 0.000, 0.500)
Mn (0.500, 0.500, 0.000)
Os (0.000, 0.000, 0.500)
Os (0.000, 0.500, 0.000)
Os (0.500, 0.000, 0.000)
Os (0.500, 0.500, 0.500)

Properties
Uncorrected energy: -56.20 eV/atom
Total magnetization: 0.001 μB/f.u.
SG: Fm-3m

***

## Ta2MnOs (SCAN)

Data for Ta2MnOs at its PBEsol-relaxed geometry.

Cell lengths 3.070, 3.070, 6.283 Å; angles 90.00, 90.00, 90.00 degrees
Atoms (fractional coordinates):
Ta (0.000, 0.000, 0.235)
Ta (0.000, 0.000, 0.765)
Mn (0.500, 0.500, 0.000)
Os (0.500, 0.500, 0.500)

Properties
Uncorrected energy: -56.20 eV/atom
Total magnetization: 0.000 μB/f.u.
SG: P4/mmm

***

## Ta2MnOs (SCAN)

Data for Ta2MnOs at its PBEsol-relaxed geometry.

Cell lengths 3.131, 3.131, 6.198 Å; angles 90.00, 90.00, 90.00 degrees
Atoms (fractional coordinates):
Ta (0.000, 0.000, 0.000)
Ta (0.500, 0.500, 0.284)
Mn (0.000, 0.000, 0.509)
Os (0.500, 0.500, 0.759)

Properties
Uncorrected energy: -56.03 eV/atom
Total magnetization: 2.430 μB/f.u.
SG: P4mm

***

## Mn2TcOs (SCAN)

Data for Mn2TcOs at its PBEsol-relaxed geometry.

Cell lengths 2.624, 2.624, 25.131 Å; angles 90.00, 90.00, 120.00 degrees
Atoms (fractional coordinates):
Mn (0.000, 0.000, 0.250)
Mn (0.000, 0.000, 0.750)
Mn (0.333, 0.667, 0.417)
Mn (0.333, 0.667, 0.917)
Mn (0.667, 0.333, 0.083)
Mn (0.667, 0.333, 0.583)
Tc (0.000, 0.000, 0.000)
Tc (0.333, 0.667, 0.667)
Tc (0.667, 0.333, 0.333)
Os (0.000, 0.000, 0.500)
Os (0.333, 0.667, 0.167)
Os (0.667, 0.333, 0.833)

Properties
Uncorrected energy: -35.79 eV/atom
Total magnetization: 4.860 μB/f.u.
SG: R-3m

***

## Mn2TcOs (SCAN)

Data for Mn2TcOs at its PBEsol-relaxed geometry.

Cell lengths 3.942, 2.630, 9.436 Å; angles 90.00, 90.00, 90.00 degrees
Atoms (fractional coordinates):
Mn (0.000, 0.000, 0.000)
Mn (0.000, 0.500, 0.500)
Mn (0.500, 0.000, 0.114)
Mn (0.500, 0.500, 0.614)
Tc (0.000, 0.000, 0.732)
Tc (0.000, 0.500, 0.232)
Os (0.500, 0.000, 0.384)
Os (0.500, 0.500, 0.884)

Properties
Uncorrected energy: -35.79 eV/atom
Total magnetization: 0.001 μB/f.u.
SG: Amm2

***

## Mn4TcOs (SCAN)

Data for Mn4TcOs at its PBEsol-relaxed geometry.

Cell lengths 4.600, 4.600, 4.600 Å; angles 60.00, 60.00, 60.00 degrees
Atoms (fractional coordinates):
Mn (0.125, 0.125, 0.125)
Mn (0.125, 0.125, 0.624)
Mn (0.125, 0.624, 0.125)
Mn (0.624, 0.125, 0.125)
Tc (0.750, 0.750, 0.750)
Os (0.500, 0.500, 0.500)

Properties
Uncorrected energy: -29.96 eV/atom
Total magnetization: 1.317 μB/f.u.
SG: F-43m

***

## ZrMn2TeOs (SCAN)

Data for ZrMn2TeOs at its PBEsol-relaxed geometry.

Cell lengths 4.595, 4.595, 5.239 Å; angles 90.00, 90.00, 90.00 degrees
Atoms (fractional coordinates):
Zr (0.000, 0.000, 0.000)
Mn (0.000, 0.500, 0.500)
Mn (0.500, 0.000, 0.500)
Te (0.000, 0.000, 0.500)
Os (0.500, 0.500, 0.000)

Properties
Uncorrected energy: -33.98 eV/atom
Total magnetization: 8.698 μB/f.u.
SG: P4/mmm

***

## TiMn2Os (SCAN)

Data for TiMn2Os at its PBEsol-relaxed geometry.

Cell lengths 5.837, 5.837, 5.837 Å; angles 90.00, 90.00, 90.00 degrees
Atoms (fractional coordinates):
Ti (0.000, 0.000, 0.000)
Ti (0.000, 0.500, 0.500)
Ti (0.500, 0.000, 0.500)
Ti (0.500, 0.500, 0.000)
Mn (0.250, 0.250, 0.250)
Mn (0.250, 0.250, 0.750)
Mn (0.250, 0.750, 0.250)
Mn (0.250, 0.750, 0.750)
Mn (0.750, 0.250, 0.250)
Mn (0.750, 0.250, 0.750)
Mn (0.750, 0.750, 0.250)
Mn (0.750, 0.750, 0.750)
Os (0.000, 0.000, 0.500)
Os (0.000, 0.500, 0.000)
Os (0.500, 0.000, 0.000)
Os (0.500, 0.500, 0.500)

Properties
Uncorrected energy: -31.22 eV/atom
Total magnetization: 0.023 μB/f.u.
SG: Fm-3m

***

## MnTl2Os (SCAN)

Data for MnTl2Os at its PBEsol-relaxed geometry.

Cell lengths 3.321, 3.321, 6.372 Å; angles 90.00, 90.00, 90.00 degrees
Atoms (fractional coordinates):
Mn (0.000, 0.000, 0.000)
Tl (0.500, 0.500, 0.251)
Tl (0.500, 0.500, 0.749)
Os (0.000, 0.000, 0.500)

Properties
Uncorrected energy: -57.93 eV/atom
Total magnetization: 3.913 μB/f.u.
SG: P4/mmm

***

## MnTl2Os (SCAN)

Data for MnTl2Os at its PBEsol-relaxed geometry.

Cell lengths 2.916, 2.956, 8.659 Å; angles 90.00, 99.65, 90.00 degrees
Atoms (fractional coordinates):
Mn (0.000, 0.000, 0.000)
Tl (0.205, 0.000, 0.414)
Tl (0.380, 0.500, 0.759)
Os (0.577, 0.500, 0.154)

Properties
Uncorrected energy: -58.29 eV/atom
Total magnetization: 2.802 μB/f.u.
SG: Pm

***

## Mn3TlOs (SCAN)

Data for Mn3TlOs at its PBEsol-relaxed geometry.

Cell lengths 4.772, 4.772, 4.772 Å; angles 90.00, 90.00, 90.00 degrees
Atoms (fractional coordinates):
Mn (0.000, 0.000, 0.500)
Mn (0.000, 0.500, 0.000)
Mn (0.500, 0.000, 0.000)
Tl (0.000, 0.000, 0.000)
Os (0.500, 0.500, 0.500)

Properties
Uncorrected energy: -38.05 eV/atom
Total magnetization: 11.075 μB/f.u.
SG: Pm-3m

***

## MnTl2Os (SCAN)

Data for MnTl2Os at its PBEsol-relaxed geometry.

Cell lengths 4.430, 4.430, 7.213 Å; angles 90.00, 90.00, 90.00 degrees
Atoms (fractional coordinates):
Mn (0.000, 0.000, 0.000)
Mn (0.500, 0.500, 0.500)
Tl (0.000, 0.500, 0.250)
Tl (0.000, 0.500, 0.750)
Tl (0.500, 0.000, 0.250)
Tl (0.500, 0.000, 0.750)
Os (0.000, 0.000, 0.500)
Os (0.500, 0.500, 0.000)

Properties
Uncorrected energy: -58.03 eV/atom
Total magnetization: 4.029 μB/f.u.
SG: I4/mmm

***

## MnTl2Os (SCAN)

Data for MnTl2Os at its PBEsol-relaxed geometry.

Cell lengths 5.929, 9.249, 3.147 Å; angles 90.00, 121.32, 90.00 degrees
Atoms (fractional coordinates):
Mn (0.000, 0.000, 0.000)
Mn (0.500, 0.500, 0.000)
Tl (0.250, 0.250, 0.500)
Tl (0.250, 0.750, 0.500)
Tl (0.750, 0.250, 0.500)
Tl (0.750, 0.750, 0.500)
Os (0.000, 0.500, 0.000)
Os (0.500, 0.000, 0.000)

Properties
Uncorrected energy: -58.00 eV/atom
Total magnetization: 3.716 μB/f.u.
SG: C2/m

***

## Mn2VOs (SCAN)

Data for Mn2VOs at its PBEsol-relaxed geometry.

Cell lengths 5.831, 5.831, 5.831 Å; angles 90.00, 90.00, 90.00 degrees
Atoms (fractional coordinates):
Mn (0.250, 0.250, 0.250)
Mn (0.250, 0.250, 0.750)
Mn (0.250, 0.750, 0.250)
Mn (0.250, 0.750, 0.750)
Mn (0.750, 0.250, 0.250)
Mn (0.750, 0.250, 0.750)
Mn (0.750, 0.750, 0.250)
Mn (0.750, 0.750, 0.750)
V (0.000, 0.000, 0.000)
V (0.000, 0.500, 0.500)
V (0.500, 0.000, 0.500)
V (0.500, 0.500, 0.000)
Os (0.000, 0.000, 0.500)
Os (0.000, 0.500, 0.000)
Os (0.500, 0.000, 0.000)
Os (0.500, 0.500, 0.500)

Properties
Uncorrected energy: -31.71 eV/atom
Total magnetization: 3.196 μB/f.u.
SG: Fm-3m

***

## MnOs2W (SCAN)

Data for MnOs2W at its PBEsol-relaxed geometry.

Cell lengths 8.798, 2.702, 4.682 Å; angles 90.00, 100.08, 90.00 degrees
Atoms (fractional coordinates):
Mn (0.000, 0.000, 0.000)
Mn (0.500, 0.500, 0.000)
Os (0.244, 0.500, 0.232)
Os (0.256, 0.000, 0.768)
Os (0.744, 0.000, 0.232)
Os (0.756, 0.500, 0.768)
W (0.000, 0.500, 0.500)
W (0.500, 0.000, 0.500)

Properties
Uncorrected energy: -57.85 eV/atom
Total magnetization: 2.321 μB/f.u.
SG: C2/m

***

## Mn4OsW (SCAN)

Data for Mn4OsW at its PBEsol-relaxed geometry.

Cell lengths 4.629, 4.629, 4.629 Å; angles 60.00, 60.00, 60.00 degrees
Atoms (fractional coordinates):
Mn (0.376, 0.376, 0.376)
Mn (0.376, 0.376, 0.871)
Mn (0.376, 0.871, 0.376)
Mn (0.871, 0.376, 0.376)
Os (0.750, 0.750, 0.750)
W (0.000, 0.000, 0.000)

Properties
Uncorrected energy: -35.75 eV/atom
Total magnetization: 0.000 μB/f.u.
SG: F-43m